No. 1
## BaCd2GaRu (PBE-GGA)

Data for a geometry-optimized BaCd2GaRu structure.

The structure belongs to space group P4/mmm (No. 123); the cell edges are 5.293, 5.293 and 4.845 Å and the angles 90.00°, 90.00° and 90.00°. The inequivalent atoms are Ba at (0.000, 0.000, 0.000), Cd at (0.000, 0.500, 0.500), Ga at (0.500, 0.500, 0.000) and Ru at (0.500, 0.500, 0.500).


No. 2
## AcNdP2Pd2 (PBE-GGA)

Data for a geometry-optimized AcNdP2Pd2 structure.

The structure belongs to space group P-3m1 (No. 164); the cell edges are 4.3025, 4.3025 and 8.0732 Å and the angles 90.00°, 90.00° and 120.00°. The inequivalent atoms are Ac at (0.0000, 0.0000, 0.0000), Nd at (0.0000, 0.0000, 0.5000), P at (0.3333, 0.6667, 0.2658) and Pd at (0.3333, 0.6667, 0.7403).


No. 3
## BaHfTc2 (PBE-GGA)

Data for a geometry-optimized BaHfTc2 structure.

The structure belongs to space group Fm-3m (No. 225); the cell edges are 6.898, 6.898 and 6.898 Å and the angles 90.00°, 90.00° and 90.00°. The inequivalent atoms are Ba at (0.000, 0.000, 0.000), Hf at (0.000, 0.000, 0.500) and Tc at (0.250, 0.250, 0.250).

The calculation puts the relative energy among the computed polymorphs at 0 kJ/mol of formula units.


| no. | density of states at the Fermi level (states/eV/atom) | raw total energy (Ry per atom) |
| --- | --- | --- |
| 1 | 0.44 | -0.251 |
| 2 | 0.20 | -0.459 |
| 3 | 1.19 | -0.541 |